Crystalline CrIn2Os at its relaxed geometry, computed with GGA-PBEsol.

calculated volume	17.14	A^3/atom
ΔE_f	2.44	eV/f.u.
E	-6.50	eV/atom

Structure (POSCAR):
```
CrIn2Os
1.0
2.959 0.000 0.000
0.000 4.556 0.000
-0.225 0.000 5.085
Cr In Os
1 2 1
Cartesian
0.000 0.000 0.000 Cr
0.578 2.278 3.815 In
2.157 2.278 1.270 In
1.367 0.000 2.543 Os
```